# TlIrRu2 (PBE-GGA, relaxed)
data_TlIrRu2
_symmetry_space_group_name_H-M 'R 3 m'
_symmetry_Int_Tables_number 160
_symmetry_space_group_name_Hall 'R 3 -2"'
_cell_length_a 2.8766
_cell_length_b 2.8766
_cell_length_c 27.2459
_cell_angle_alpha 90.00
_cell_angle_beta 90.00
_cell_angle_gamma 120.00
loop_
_atom_site_label
_atom_site_fract_x
_atom_site_fract_y
_atom_site_fract_z
_atom_site_occupancy
Tl1 0.0000 0.0000 0.0000 1
Ir1 0.0000 0.0000 0.7572 1
Ru1 0.0000 0.0000 0.2436 1
Ru2 0.0000 0.0000 0.5020 1
# size of the total moment: 0.00 μB/cell
# raw total energy: -0.254 Ha/atom
# energy above the lowest structure with this stoichiometry: 132 meV/atom
# formation energy: 0.53 eV/atom

***

# TlIrRu2 (PBE-GGA, relaxed)
data_TlIrRu2
_symmetry_space_group_name_H-M 'C m m m'
_symmetry_Int_Tables_number 65
_symmetry_space_group_name_Hall '-C 2 2'
_cell_length_a 5.6539
_cell_length_b 7.9462
_cell_length_c 2.8477
_cell_angle_alpha 90.00
_cell_angle_beta 90.00
_cell_angle_gamma 90.00
loop_
_atom_site_label
_atom_site_fract_x
_atom_site_fract_y
_atom_site_fract_z
_atom_site_occupancy
Tl1 0.0000 0.0000 0.0000 1
Ir1 0.0000 0.5000 0.0000 1
Ru1 0.2500 0.2500 0.5000 1
# size of the total moment: 0.01 μB/cell
# raw total energy: -0.252 Ha/atom
# energy above the lowest structure with this stoichiometry: 201 meV/atom
# formation energy: 0.60 eV/atom

***

# Tl2IrRu (PBE-GGA, relaxed)
data_Tl2IrRu
_symmetry_space_group_name_H-M 'I -4 2 d'
_symmetry_Int_Tables_number 122
_symmetry_space_group_name_Hall 'I -4 2bw'
_cell_length_a 7.5159
_cell_length_b 7.5159
_cell_length_c 5.8000
_cell_angle_alpha 90.00
_cell_angle_beta 90.00
_cell_angle_gamma 90.00
loop_
_atom_site_label
_atom_site_fract_x
_atom_site_fract_y
_atom_site_fract_z
_atom_site_occupancy
Tl1 0.2472 0.2500 0.1250 1
Ir1 0.0000 0.0000 0.0000 1
Ru1 0.0000 0.0000 0.5000 1
# size of the total moment: 4.88 μB/cell
# raw total energy: -0.175 Ha/atom
# energy above the lowest structure with this stoichiometry: 537 meV/atom
# formation energy: 0.96 eV/atom

***

# TlIr2Ru (PBE-GGA, relaxed)
data_TlIr2Ru
_symmetry_space_group_name_H-M 'I -4 m 2'
_symmetry_Int_Tables_number 119
_symmetry_space_group_name_Hall 'I -4 -2'
_cell_length_a 4.0464
_cell_length_b 4.0464
_cell_length_c 7.8467
_cell_angle_alpha 90.00
_cell_angle_beta 90.00
_cell_angle_gamma 90.00
loop_
_atom_site_label
_atom_site_fract_x
_atom_site_fract_y
_atom_site_fract_z
_atom_site_occupancy
Tl1 0.0000 0.0000 0.0000 1
Ir1 0.0000 0.0000 0.5000 1
Ir2 0.0000 0.5000 0.7500 1
Ru1 0.0000 0.5000 0.2500 1
# size of the total moment: 0.00 μB/cell
# raw total energy: -0.253 Ha/atom
# energy above the lowest structure with this stoichiometry: 101 meV/atom
# formation energy: 0.47 eV/atom

***

# Tl2IrRu (PBE-GGA, relaxed)
data_Tl2IrRu
_symmetry_space_group_name_H-M 'A m m 2'
_symmetry_Int_Tables_number 38
_cell_length_a 4.2816
_cell_length_b 4.0785
_cell_length_c 9.7478
_cell_angle_alpha 90.00
_cell_angle_beta 90.00
_cell_angle_gamma 90.00
loop_
_symmetry_equiv_pos_as_xyz
'x,y,z'
'-x,-y,z'
'-x,y,z'
'x,-y,z'
'x,y+1/2,z+1/2'
'-x,-y+1/2,z+1/2'
'-x,y+1/2,z+1/2'
'x,-y+1/2,z+1/2'
loop_
_atom_site_label
_atom_site_fract_x
_atom_site_fract_y
_atom_site_fract_z
_atom_site_occupancy
Tl1 0.0000 0.0000 0.0000 1
Tl2 0.5000 0.0000 0.3012 1
Ir1 0.5000 0.0000 0.5895 1
Ru1 0.0000 0.0000 0.7112 1
# size of the total moment: 0.00 μB/cell
# raw total energy: -0.189 Ha/atom
# energy above the lowest structure with this stoichiometry: 150 meV/atom
# formation energy: 0.57 eV/atom

***

# Tl2IrRu (PBE-GGA, relaxed)
data_Tl2IrRu
_symmetry_space_group_name_H-M 'C m m m'
_symmetry_Int_Tables_number 65
_symmetry_space_group_name_Hall '-C 2 2'
_cell_length_a 3.1708
_cell_length_b 5.3099
_cell_length_c 9.0389
_cell_angle_alpha 90.00
_cell_angle_beta 90.00
_cell_angle_gamma 90.00
loop_
_atom_site_label
_atom_site_fract_x
_atom_site_fract_y
_atom_site_fract_z
_atom_site_occupancy
Tl1 0.0000 0.0000 0.2479 1
Ir1 0.0000 0.5000 0.5000 1
Ru1 0.0000 0.5000 0.0000 1
# size of the total moment: 0.00 μB/cell
# raw total energy: -0.183 Ha/atom
# energy above the lowest structure with this stoichiometry: 306 meV/atom
# formation energy: 0.73 eV/atom

***

# Tl2IrRu (PBE-GGA, relaxed)
data_Tl2IrRu
_symmetry_space_group_name_H-M 'I -4 m 2'
_symmetry_Int_Tables_number 119
_symmetry_space_group_name_Hall 'I -4 -2'
_cell_length_a 4.0142
_cell_length_b 4.0142
_cell_length_c 9.3460
_cell_angle_alpha 90.00
_cell_angle_beta 90.00
_cell_angle_gamma 90.00
loop_
_atom_site_label
_atom_site_fract_x
_atom_site_fract_y
_atom_site_fract_z
_atom_site_occupancy
Tl1 0.0000 0.0000 0.0000 1
Tl2 0.0000 0.5000 0.2500 1
Ir1 0.0000 0.5000 0.7500 1
Ru1 0.0000 0.0000 0.5000 1
# size of the total moment: 3.31 μB/cell
# raw total energy: -0.182 Ha/atom
# energy above the lowest structure with this stoichiometry: 349 meV/atom
# formation energy: 0.77 eV/atom

***

# Tl2IrRu (PBE-GGA, relaxed)
data_Tl2IrRu
_symmetry_space_group_name_H-M 'R -3 m'
_symmetry_Int_Tables_number 166
_symmetry_space_group_name_Hall '-R 3 2"'
_cell_length_a 3.1627
_cell_length_b 3.1627
_cell_length_c 25.9873
_cell_angle_alpha 90.00
_cell_angle_beta 90.00
_cell_angle_gamma 120.00
loop_
_atom_site_label
_atom_site_fract_x
_atom_site_fract_y
_atom_site_fract_z
_atom_site_occupancy
Tl1 0.0000 0.0000 0.2492 1
Ir1 0.0000 0.0000 0.0000 1
Ru1 0.0000 0.0000 0.5000 1
# size of the total moment: 1.43 μB/cell
# raw total energy: -0.185 Ha/atom
# energy above the lowest structure with this stoichiometry: 252 meV/atom
# formation energy: 0.67 eV/atom